# 1
! PBE+U Ti2Mn3Cr3O16, optimized geometry; values from VASP
&SYSTEM
  ibrav = 0, nat = 24, ntyp = 4
/
ATOMIC_SPECIES
Ti 47.87 Ti.upf
Mn 54.94 Mn.upf
Cr 52.00 Cr.upf
O 16.00 O.upf
ATOMIC_POSITIONS angstrom
Ti 0.0000 0.0000 0.0000
Ti 6.6344 0.0000 4.4940
Mn 1.5574 0.0000 6.4576
Mn 7.5306 1.4341 1.9700
Mn 7.5306 -1.4341 1.9700
Cr 4.1009 1.4692 6.4624
Cr 5.0022 0.0000 1.9286
Cr 4.1009 -1.4692 6.4624
O 1.6201 0.0000 0.9520
O 4.1923 1.4500 0.9751
O 5.7009 1.6497 7.5763
O 3.2353 0.0000 7.3907
O 3.2886 0.0000 2.8954
O 5.9604 1.2644 3.0602
O 5.0020 0.0000 5.4947
O 7.5164 1.4345 5.4644
O 4.1923 -1.4500 0.9751
O 6.7413 0.0000 0.9647
O 5.9604 -1.2644 3.0602
O 8.1598 0.0000 3.0785
O 5.7009 -1.6497 7.5763
O 8.5890 0.0000 7.5600
O 7.5164 -1.4345 5.4644
O 10.0560 0.0000 5.4587
CELL_PARAMETERS angstrom
5.0617 -2.9102 0.0000
5.0617 2.9102 0.0000
-0.0054 0.0000 9.0122
! - E (eV per formula unit) = -182.73
! - size of the total moment (μB per formula unit) = 15.0
! - space-group type = Cm

# 2
! PBE+U TiMnCr2O6, optimized geometry; values from VASP
&SYSTEM
  ibrav = 0, nat = 10, ntyp = 4
/
ATOMIC_SPECIES
Ti 47.87 Ti.upf
Mn 54.94 Mn.upf
Cr 52.00 Cr.upf
O 16.00 O.upf
ATOMIC_POSITIONS angstrom
Ti 0.0000 0.0000 0.0000
Mn 0.0000 0.0000 6.8309
Cr 0.0000 0.0000 2.8327
Cr 0.0000 0.0000 9.7890
O -1.9387 0.1438 6.0952
O -0.8232 -1.4157 8.5111
O 0.8448 -1.7508 6.0952
O -0.8145 1.4208 8.5111
O 1.0939 1.6070 6.0952
O 1.6377 -0.0051 8.5111
CELL_PARAMETERS angstrom
2.5821 1.4908 4.6418
-2.5821 1.4908 4.6418
0.0000 -2.9816 4.6418
! - E (eV per formula unit) = -82.27
! - size of the total moment (μB per formula unit) = 11.0
! - space-group type = R3
! - DOS at the Fermi energy (states/eV per cell) = 0.0

# 3
! PBE+U Ti3Mn3Cr2O16, optimized geometry; values from VASP
&SYSTEM
  ibrav = 0, nat = 24, ntyp = 4
/
ATOMIC_SPECIES
Ti 47.87 Ti.upf
Mn 54.94 Mn.upf
Cr 52.00 Cr.upf
O 16.00 O.upf
ATOMIC_POSITIONS angstrom
Ti 0.0000 0.0000 0.0000
Ti 4.2582 1.4755 4.4299
Ti 4.2582 -1.4755 4.4299
Mn 2.5591 1.4414 8.8822
Mn 2.5591 -1.4414 8.8822
Mn 6.7787 0.0000 4.4351
Cr 1.7438 0.0000 6.4332
Cr 5.2024 0.0000 1.9557
O 0.1009 0.0000 5.3588
O 2.5672 1.4213 5.4018
O 1.8005 0.0000 0.9366
O 4.3332 1.4514 0.9326
O 3.2230 0.0000 7.7727
O 6.1246 1.6779 7.7174
O 3.7190 0.0000 3.2289
O 5.9092 1.2504 3.2737
O 2.5672 -1.4213 5.4018
O 5.1413 0.0000 5.4250
O 6.7967 0.0000 0.9120
O 4.3332 -1.4514 0.9326
O 5.9092 -1.2504 3.2737
O 8.4775 0.0000 3.4934
O 8.4656 0.0000 7.9457
O 6.1246 -1.6779 7.7174
CELL_PARAMETERS angstrom
5.0793 -2.9406 0.0000
5.0793 2.9406 0.0000
-0.0352 0.0000 8.9220
! - E (eV per formula unit) = -187.02
! - size of the total moment (μB per formula unit) = 13.0
! - space-group type = Cm